HfTiCr2O6 | PBE+U | optimized geometry

a b c (Å): 5.1721 5.4057 5.5241
angles (deg): 115.53 90.01 118.15
Positions (direct):
Hf  0.0000  0.0000  0.0000
Ti  0.4702  0.9714  0.4869
Cr  0.2157  0.4328  0.6299
Cr  0.7067  0.4285  0.1215
O  0.1283  0.5539  0.3246
O  0.3081  0.2056  0.8097
O  0.3944  0.2054  0.3231
O  0.6489  0.9375  0.7693
O  0.7428  0.9299  0.2814
O  0.9282  0.5630  0.8380

- total energy (eV/atom) = -8.81
- calculated volume (Å³/atom) = 11.879
- crystal system = triclinic
- space-group type = No. 1